(1)
Material: OsRhCl
Method: DFT, PBEsol
State: optimized geometry

Cell: 6.0094 6.0094 6.0094 Å, 152.87 152.87 38.74°
Last column: nearest neighbours and their distance in Å.
Atoms (fractional coordinates):
Os: 0.0000 0.0000 0.0000  4 Rh 2.56, 4 Cl 2.73, 4 Os 2.82
Rh: 0.6418 0.6418 0.0000  4 Os 2.56, 4 Rh 2.82
Cl: 0.3358 0.3358 0.0000  4 Os 2.73, 4 Cl 2.82, 4 Rh 2.97

Formation energy from raw total energies: 658 meV/atom
SG: No. 107
V: 45.0 Å³/cell
Magnetization: 0.00 μB/f.u.
Electronic total energy: -6.80 eV per atom
Crystal system: tetragonal

***

(2)
Material: CdAg2Au
Method: DFT, PBEsol
State: optimized geometry

Cell: 5.4831 5.4831 2.8172 Å, 101.27 101.27 117.84°
Last column: nearest neighbours and their distance in Å.
Atoms (fractional coordinates):
Cd: 0.0000 0.0000 0.0000  2 Cd 2.82, 4 Ag 2.83, 4 Au 2.83-3.15
Ag: 0.0000 0.5000 0.5000  6 Ag 2.82-3.15, 2 Cd 2.83, 2 Au 2.83
Ag: 0.5000 0.0000 0.5000  6 Ag 2.82-3.15, 2 Cd 2.83, 2 Au 2.83
Au: 0.5000 0.5000 0.0000  2 Au 2.82, 4 Ag 2.83, 4 Cd 2.83-3.15

ΔH_f (0 K): -0.055 eV/atom
SG: No. 12
V: 69.3 Å³/cell
Magnetization: 0.00 μB/f.u.
Electronic total energy: -2.99 eV per atom
Crystal system: monoclinic

***

(3)
Material: LiTbCu2P2
Method: DFT, PBEsol
State: optimized geometry

Cell: 3.9379 3.9379 6.4748 Å, 90.00 90.00 120.00°
Last column: nearest neighbours and their distance in Å.
Atoms (fractional coordinates):
Li: 0.0000 0.0000 0.0000  6 Cu 2.51, 6 P 2.74
Tb: 0.0000 0.0000 0.5000  6 P 2.84, 6 Cu 3.14
Cu: 0.3333 0.6667 0.1652  4 P 2.32-2.60, 3 Li 2.51
Cu: 0.6667 0.3333 0.8348  4 P 2.32-2.60, 3 Li 2.51
P: 0.3333 0.6667 0.7641  4 Cu 2.32-2.60
P: 0.6667 0.3333 0.2359  4 Cu 2.32-2.60

ΔH_f (0 K): -0.845 eV/atom
SG: No. 164
V: 87.0 Å³/cell
Magnetization: 0.00 μB/f.u.
Electronic total energy: -5.38 eV per atom
Crystal system: trigonal

***

(4)
Material: MnCoI2
Method: DFT, PBEsol
State: optimized geometry

Cell: 7.2856 7.2856 7.2856 Å, 131.63 131.63 70.82°
Last column: nearest neighbours and their distance in Å.
Atoms (fractional coordinates):
Mn: 0.0000 0.0000 0.0000  4 I 2.67
Mn: 0.7500 0.2500 0.5000  4 I 2.67
Co: 0.2500 0.7500 0.5000  4 I 2.50
Co: 0.5000 0.5000 0.0000  4 I 2.50
I: 0.1499 0.6250 0.0249  2 Co 2.50, 2 Mn 2.67
I: 0.3750 0.3999 0.5249  2 Co 2.50, 2 Mn 2.67
I: 0.6001 0.1250 0.9751  2 Co 2.50, 2 Mn 2.67
I: 0.8750 0.8501 0.4751  2 Co 2.50, 2 Mn 2.67

Formation energy from raw total energies: 434 meV/atom
SG: No. 122
V: 211.6 Å³/cell
Magnetization: 6.00 μB/f.u.
Electronic total energy: -4.82 eV per atom
Crystal system: tetragonal

***

(5)
Material: SrNiSe2
Method: DFT, PBEsol
State: optimized geometry

Cell: 3.7796 3.7796 6.4063 Å, 90.00 90.00 90.00°
Last column: nearest neighbours and their distance in Å.
Atoms (fractional coordinates):
Sr: 0.0000 0.0000 0.0000  5 Se 2.89-2.99
Ni: 0.5000 0.5000 0.4706  1 Se 2.29
Se: 0.0000 0.0000 0.4662  4 Ni 2.67, 1 Sr 2.99
Se: 0.5000 0.5000 0.8286  1 Ni 2.29

Formation energy from raw total energies: -644 meV/atom
SG: No. 99
V: 91.5 Å³/cell
Magnetization: 0.00 μB/f.u.
Electronic total energy: -4.57 eV per atom
Energy relative to the lowest polymorph listed for this composition: 210.1 meV per atom
Crystal system: tetragonal

***

(6)
Material: OsPt2Pb
Method: DFT, PBEsol
State: optimized geometry

Cell: 4.9193 4.9193 2.7899 Å, 90.00 90.00 90.00°
Last column: nearest neighbours and their distance in Å.
Atoms (fractional coordinates):
Os: 0.0000 0.0000 0.0000  2 Os 2.79, 8 Pt 2.83
Pt: 0.0000 0.5000 0.5000  2 Pt 2.79, 4 Pb 2.83, 4 Os 2.83
Pt: 0.5000 0.0000 0.5000  2 Pt 2.79, 4 Pb 2.83, 4 Os 2.83
Pb: 0.5000 0.5000 0.0000  2 Pb 2.79, 8 Pt 2.83

ΔH_f (0 K): 0.475 eV/atom
SG: No. 123
V: 67.5 Å³/cell
Magnetization: 0.00 μB/f.u.
Electronic total energy: -7.06 eV per atom
Crystal system: tetragonal

***

(7)
Material: YNi2
Method: DFT, PBEsol
State: optimized geometry

Cell: 7.3710 7.3710 7.3710 Å, 150.06 150.06 42.86°
Last column: nearest neighbours and their distance in Å.
Atoms (fractional coordinates):
Y: 0.3750 0.6250 0.7500  12 Ni 2.92-2.99
Y: 0.6250 0.3750 0.2500  12 Ni 2.92-2.99
Ni: 0.0433 0.7933 0.2500  3 Ni 2.24
Ni: 0.2067 0.9567 0.2500  3 Ni 2.24
Ni: 0.7933 0.0433 0.7500  3 Ni 2.24
Ni: 0.9567 0.2067 0.7500  3 Ni 2.24

ΔH_f (0 K): -0.356 eV/atom
SG: No. 141
V: 99.5 Å³/cell
Magnetization: 0.00 μB/f.u.
Electronic total energy: -6.74 eV per atom
Crystal system: tetragonal

***

(8)
Material: BeSbI2Br
Method: DFT, PBEsol
State: optimized geometry

Cell: 5.0076 5.0076 5.2752 Å, 90.00 90.00 90.00°
Last column: nearest neighbours and their distance in Å.
Atoms (fractional coordinates):
Be: 0.0000 0.0000 0.0000  4 I 2.50, 2 Sb 2.64
Sb: 0.0000 0.0000 0.5000  2 Be 2.64
I: 0.0000 0.5000 0.0000  2 Be 2.50
I: 0.5000 0.0000 0.0000  2 Be 2.50
Br: 0.5000 0.5000 0.5000  4 Sb 3.54, 8 I 3.64

Formation energy from raw total energies: 198 meV/atom
SG: No. 123
V: 132.3 Å³/cell
Magnetization: 0.00 μB/f.u.
Electronic total energy: -2.59 eV per atom
Crystal system: tetragonal